# Sr3YS4 | the Alexandria database | PBE-GGA | relaxed
# Formation energy without anion corrections in eV per atom: -2.0751
data_Sr3YS4
_space_group_name_H-M_alt 'P 1'
_space_group_IT_number 1
_space_group_name_Hall 'P 1'
_cell_length_a 4.156
_cell_length_b 7.239
_cell_length_c 7.239
_cell_angle_alpha 109.22
_cell_angle_beta 90.00
_cell_angle_gamma 90.00
loop_
_atom_site_label
_atom_site_type_symbol
_atom_site_fract_x
_atom_site_fract_y
_atom_site_fract_z
S1 S 0.000 0.234 0.234
S2 S 0.000 0.766 0.766
S3 S 0.500 0.760 0.240
S4 S 0.500 0.240 0.760
Y1 Y 0.500 0.000 0.000
Sr1 Sr 0.000 0.500 0.000
Sr2 Sr 0.500 0.500 0.500
Sr3 Sr 0.000 0.000 0.500